[1]
Material: Ac12Tl5Pb2
Method: DFT, PBE
State: relaxed

Summary:
The density of states at the Fermi level comes out at 45.064 states/eV per cell. The calculation puts the formation energy from the elements at -0.126 eV per atom.

a b c (Å): 19.163 7.958 11.002
angles (deg): 90.00 103.21 90.00
Space group C2/m (No. 12)
Symmetry-distinct sites (fractional):
Ac: 0.008 0.000 0.284
Ac: 0.064 0.500 0.817
Ac: 0.148 0.248 0.562
Ac: 0.179 0.242 0.109
Tl: 0.000 0.500 0.500
Tl: 0.172 0.000 0.835
Tl: 0.204 0.000 0.359
Pb: 0.000 0.212 0.000

---

[2]
Material: Te2IrIN
Method: DFT, PBE
State: relaxed

Summary:
The density of states at the Fermi level comes out at 8.479 states/eV per cell. Its energy relative to the elements, uncorrected is 164.17 kJ/mol of atoms. Its excess energy over the best structure of this formula in the dataset is 1283 meV per atom.

a b c (Å): 5.147 5.147 5.517
angles (deg): 90.00 90.00 90.00
Space group P4/mmm (No. 123)
Symmetry-distinct sites (fractional):
Te: 0.000 0.500 0.000
Ir: 0.000 0.000 0.000
I: 0.000 0.000 0.500
N: 0.500 0.500 0.500

---

[3]
Material: La4BiSb2
Method: DFT, PBE
State: relaxed

Summary:
The density of states at the Fermi level comes out at 16.573 states/eV per cell. Its energy relative to the elements, uncorrected is -39.37 kJ/mol of atoms. Its excess energy over the best structure of this formula in the dataset is 660 meV per atom.

a b c (Å): 5.952 5.952 16.629
angles (deg): 90.00 90.00 90.00
Space group I4/mmm (No. 139)
Symmetry-distinct sites (fractional):
La: 0.000 0.000 0.191
La: 0.000 0.500 0.000
Bi: 0.000 0.000 0.000
Sb: 0.000 0.000 0.377

---

[4]
Material: BaAlPt
Method: DFT, PBE
State: relaxed

Summary:
The density of states at the Fermi level comes out at 2.023 states/eV per cell. The calculation puts the formation energy from the elements at -0.572 eV per atom.

a b c (Å): 3.461 3.461 12.171
angles (deg): 90.00 90.00 90.00
Space group I4mm (No. 107)
Symmetry-distinct sites (fractional):
Ba: 0.000 0.000 0.000
Al: 0.000 0.000 0.724
Pt: 0.000 0.000 0.297

---

[5]
Material: TbHo2Tm
Method: DFT, PBE
State: relaxed

Summary:
The density of states at the Fermi level comes out at 17.275 states/eV per cell. The calculation puts the formation energy from the elements at 0.022 eV per atom. Its excess energy over the best structure of this formula in the dataset is 19 meV per atom.

a b c (Å): 3.5184 3.5184 34.3744
angles (deg): 90.00 90.00 120.00
Space group R-3m (No. 166, hexagonal axes)
Symmetry-distinct sites (fractional):
Tb: 0.0000 0.0000 0.0000
Ho: 0.0000 0.0000 0.2493
Tm: 0.0000 0.0000 0.5000

---

[6]
Material: KNiP4
Method: DFT, PBE
State: relaxed

Summary:
The density of states at the Fermi level comes out at 40.653 states/eV per cell. The calculation puts the formation energy from the elements at 0.461 eV per atom.

a b c (Å): 7.957 7.957 7.957
angles (deg): 90.00 90.00 90.00
Space group F-43m (No. 216)
Symmetry-distinct sites (fractional):
K: 0.000 0.000 0.000
Ni: 0.250 0.250 0.750
P: 0.100 0.100 0.400